1.
This record from Alexandria describes crystalline Hf2ZrF at its relaxed geometry. The functional is GGA-PBE.

a b c (Å): 6.8385 6.8385 6.8385
angles (deg): 90.00 90.00 90.00
Closest atoms and distances in Å follow each position.
Space group Fm-3m (No. 225)
Asymmetric unit:
Hf 0.2500 0.2500 0.2500  4 Zr 2.96, 4 F 2.96
Zr 0.0000 0.0000 0.0000  8 Hf 2.96
F 0.0000 0.0000 0.5000  8 Hf 2.96

Computed properties:
Energy above the most stable polymorph in this dataset (meV per atom): 677
Crystal system: cubic
Uncorrected formation energy (meV per atom): 108.2

=====

2.
This record from Alexandria describes crystalline Ce2HoIn4 at its relaxed geometry. The functional is GGA-PBE.

a b c (Å): 6.2017 11.6038 6.2348
angles (deg): 90.00 90.00 90.00
Closest atoms and distances in Å follow each position.
Space group Cmmm (No. 65)
Asymmetric unit:
Ce 0.0000 0.1188 0.0000  1 Ce 2.76, 1 In 3.05
Ho 0.0000 0.5000 0.5000  8 In 3.41-3.47
In 0.0000 0.1348 0.5000  2 Ce 3.12, 1 In 3.13, 2 Ho 3.47
In 0.0000 0.3819 0.0000  1 In 2.74, 1 Ce 3.05

Computed properties:
Formation energy (meV per atom): 158
Energy above the most stable polymorph in this dataset (meV per atom): 396
Crystal system: orthorhombic

=====

3.
This record from Alexandria describes crystalline LaY12Tm6 at its relaxed geometry. The functional is GGA-PBE.

a b c (Å): 11.8543 11.8543 15.3060
angles (deg): 90.00 90.00 120.00
Closest atoms and distances in Å follow each position.
Space group R-3 (No. 148, hexagonal axes)
Asymmetric unit:
La 0.0000 0.0000 0.0000  6 Tm 3.46, 6 Y 3.59
Y 0.0141 0.8314 0.1909  5 Y 3.44-3.84, 4 Tm 3.51-3.66, 1 La 3.59
Y 0.0407 0.8499 0.4149  3 Tm 3.24-3.44, 6 Y 3.32-3.57
Tm 0.0097 0.4237 0.6796  6 Y 3.24-3.61, 1 La 3.46, 2 Tm 3.48

Computed properties:
Formation energy (meV per atom): 152
Energy above the most stable polymorph in this dataset (meV per atom): 0
Crystal system: trigonal

=====

4.
This record from Alexandria describes crystalline RbFe3H at its relaxed geometry. The functional is GGA-PBE.

a b c (Å): 4.1171 4.1171 4.1171
angles (deg): 90.00 90.00 90.00
Closest atoms and distances in Å follow each position.
Space group Pm-3m (No. 221)
Asymmetric unit:
Rb 0.0000 0.0000 0.0000  12 Fe 2.91
Fe 0.0000 0.5000 0.5000  2 H 2.06
H 0.5000 0.5000 0.5000  6 Fe 2.06

Computed properties:
Energy above the most stable polymorph in this dataset (meV per atom): 0
Crystal system: cubic

=====

5.
This record from Alexandria describes crystalline Tb2Sm3Cd3 at its relaxed geometry. The functional is GGA-PBE.

a b c (Å): 8.7661 8.7661 3.4093
angles (deg): 90.00 90.00 120.00
Closest atoms and distances in Å follow each position.
Space group P-62m (No. 189)
Asymmetric unit:
Tb 0.3333 0.6667 0.0000  6 Cd 3.21, 2 Tb 3.41, 3 Sm 3.42
Sm 0.0000 0.2371 0.0000  6 Cd 3.41-3.72, 4 Sm 3.41-3.60, 2 Tb 3.42
Cd 0.0000 0.6148 0.5000  4 Tb 3.21, 4 Sm 3.41, 2 Cd 3.41

Computed properties:
Formation energy (meV per atom): -141
Energy above the most stable polymorph in this dataset (meV per atom): 95
Crystal system: hexagonal

=====

6.
This record from Alexandria describes crystalline Co2CuAu at its relaxed geometry. The functional is GGA-PBE.

a b c (Å): 2.6646 3.7680 5.2538
angles (deg): 90.00 90.39 90.00
Closest atoms and distances in Å follow each position.
Space group P2/m (No. 10)
Asymmetric unit:
Co 0.0010 0.0000 0.2787  1 Co 2.33, 4 Cu 2.58-2.59
Cu 0.5000 0.5000 0.5000  8 Co 2.58-2.59, 2 Au 2.63, 2 Cu 2.66
Au 0.5000 0.5000 0.0000  2 Cu 2.63, 2 Au 2.66, 8 Co 2.73-2.74

Computed properties:
Formation energy (meV per atom): 228
Crystal system: monoclinic

=====

7.
This record from Alexandria describes crystalline Pr2Pu3Se8 at its relaxed geometry. The functional is GGA-PBE.

a b c (Å): 14.7239 8.3346 7.0934
angles (deg): 90.00 109.29 90.00
Closest atoms and distances in Å follow each position.
Space group C2/m (No. 12)
Asymmetric unit:
Pr 0.2363 0.0000 0.1639  6 Se 2.95-3.07
Pu 0.0000 0.2429 0.5000  6 Se 2.81-2.90
Pu 0.0000 0.5000 0.0000  6 Se 2.86-2.87
Se 0.1134 0.5000 0.4164  3 Pu 2.87-2.90, 1 Pr 3.07
Se 0.1159 0.0000 0.4233  2 Pu 2.81, 1 Pr 2.95
Se 0.1213 0.2653 0.9094  2 Pu 2.86-2.87, 2 Pr 3.00-3.03

Computed properties:
Crystal system: monoclinic
Uncorrected formation energy (meV per atom): -1524.2

=====

8.
This record from Alexandria describes crystalline TaZn2Ir at its relaxed geometry. The functional is GGA-PBE.

a b c (Å): 2.8413 2.8413 26.7105
angles (deg): 90.00 90.00 120.00
Closest atoms and distances in Å follow each position.
Space group R-3m (No. 166, hexagonal axes)
Asymmetric unit:
Ta 0.0000 0.0000 0.0000  6 Ta 2.84, 6 Zn 2.88
Zn 0.0000 0.0000 0.2445  3 Ir 2.65, 6 Zn 2.84, 3 Ta 2.88
Ir 0.0000 0.0000 0.5000  6 Zn 2.65, 6 Ir 2.84

Computed properties:
Formation energy (meV per atom): 37
Crystal system: trigonal

=====

9.
This record from Alexandria describes crystalline TiClF at its relaxed geometry. The functional is GGA-PBE.

a b c (Å): 5.4042 3.0782 6.7186
angles (deg): 90.00 103.81 90.00
Closest atoms and distances in Å follow each position.
Space group P2_1/m (No. 11)
Asymmetric unit:
Ti 0.2119 0.2500 0.0032  3 F 2.15-2.19
Cl 0.1698 0.7500 0.2743  3 Ti 2.43-2.44
F 0.3785 0.7500 0.8544  3 Ti 2.15-2.19

Computed properties:
Energy above the most stable polymorph in this dataset (meV per atom): 0
Crystal system: monoclinic
Uncorrected formation energy (meV per atom): -2212.8

=====

10.
This record from Alexandria describes crystalline LiMnFe2 at its relaxed geometry. The functional is GGA-PBE.

a b c (Å): 2.6838 4.1284 8.2506
angles (deg): 90.00 90.00 90.00
Closest atoms and distances in Å follow each position.
Space group Imm2 (No. 44)
Asymmetric unit:
Li 0.0000 0.0000 0.0000  6 Fe 2.46-2.54, 2 Mn 2.57, 2 Li 2.68
Mn 0.0000 0.5000 0.2347  6 Fe 2.39-2.47, 2 Li 2.57
Fe 0.0000 0.0000 0.4956  2 Fe 2.35, 2 Mn 2.39, 4 Li 2.46
Fe 0.0000 0.5000 0.7611  2 Fe 2.35, 4 Mn 2.47, 2 Li 2.54

Computed properties:
Formation energy (meV per atom): 288
Energy above the most stable polymorph in this dataset (meV per atom): 83
Crystal system: orthorhombic

=====

11.
This record from Alexandria describes crystalline UTaTiIr at its relaxed geometry. The functional is GGA-PBE.

a b c (Å): 6.5286 6.5286 6.5286
angles (deg): 90.00 90.00 90.00
Closest atoms and distances in Å follow each position.
Space group F-43m (No. 216)
Asymmetric unit:
U 0.0000 0.0000 0.0000  4 Ti 2.83, 4 Ta 2.83
Ta 0.2500 0.2500 0.2500  4 U 2.83, 4 Ir 2.83
Ti 0.2500 0.2500 0.7500  4 U 2.83, 4 Ir 2.83
Ir 0.0000 0.0000 0.5000  4 Ta 2.83, 4 Ti 2.83

Computed properties:
Formation energy (meV per atom): -43
Crystal system: cubic

=====

12.
This record from Alexandria describes crystalline AcSmDy4Ho2 at its relaxed geometry. The functional is GGA-PBE.

a b c (Å): 5.0926 5.1205 10.1625
angles (deg): 90.00 90.00 90.00
Closest atoms and distances in Å follow each position.
Space group Pmmm (No. 47)
Asymmetric unit:
Ac 0.0000 0.0000 0.0000  4 Ho 3.61, 8 Dy 3.65-3.66
Sm 0.5000 0.5000 0.5000  8 Dy 3.55, 4 Ho 3.61
Dy 0.0000 0.5000 0.2570  2 Sm 3.55, 4 Ho 3.56-3.65, 4 Dy 3.61, 2 Ac 3.66
Dy 0.5000 0.0000 0.2579  4 Ho 3.54-3.66, 2 Sm 3.55, 4 Dy 3.61, 2 Ac 3.65
Ho 0.0000 0.0000 0.5000  8 Dy 3.54-3.56, 4 Sm 3.61
Ho 0.5000 0.5000 0.0000  4 Ac 3.61, 8 Dy 3.65-3.66

Computed properties:
Formation energy (meV per atom): 42
Crystal system: orthorhombic

=====

What is the formula in the sixth record? Co2CuAu

=====

Copy entry 12 word for word.
This record from Alexandria describes crystalline AcSmDy4Ho2 at its relaxed geometry. The functional is GGA-PBE.

a b c (Å): 5.0926 5.1205 10.1625
angles (deg): 90.00 90.00 90.00
Closest atoms and distances in Å follow each position.
Space group Pmmm (No. 47)
Asymmetric unit:
Ac 0.0000 0.0000 0.0000  4 Ho 3.61, 8 Dy 3.65-3.66
Sm 0.5000 0.5000 0.5000  8 Dy 3.55, 4 Ho 3.61
Dy 0.0000 0.5000 0.2570  2 Sm 3.55, 4 Ho 3.56-3.65, 4 Dy 3.61, 2 Ac 3.66
Dy 0.5000 0.0000 0.2579  4 Ho 3.54-3.66, 2 Sm 3.55, 4 Dy 3.61, 2 Ac 3.65
Ho 0.0000 0.0000 0.5000  8 Dy 3.54-3.56, 4 Sm 3.61
Ho 0.5000 0.5000 0.0000  4 Ac 3.61, 8 Dy 3.65-3.66

Computed properties:
Formation energy (meV per atom): 42
Crystal system: orthorhombic